Compound: FeMoRh2
Source: Alexandria via LeMat-Bulk
Functional: PBE
Structure: optimized geometry

Output
Calculated formation energy ... 0.05 eV/atom
Distance to the lowest polymorph of the same formula ... 0.197 eV per atom

a b c (Å): 8.9596 8.9596 8.9596
angles (deg): 17.51 17.51 17.51
Last column: nearest neighbours and their distance in Å.
Atoms (fractional coordinates):
Fe 0.5023 0.5023 0.5023  3 Rh 2.58, 6 Fe 2.73, 3 Mo 2.76
Rh 0.0015 0.0015 0.0015  3 Mo 2.68, 9 Rh 2.73-2.82
Mo 0.7499 0.7499 0.7499  3 Rh 2.68, 6 Mo 2.73, 3 Fe 2.76
Rh 0.2462 0.2462 0.2462  3 Fe 2.58, 9 Rh 2.73-2.82

=====

Compound: DyThB2Rh5
Source: Alexandria via LeMat-Bulk
Functional: PBE
Structure: optimized geometry

Output
Calculated formation energy ... -0.76 eV/atom

a b c (Å): 4.1823 4.1823 8.3067
angles (deg): 90.00 90.00 90.00
Last column: nearest neighbours and their distance in Å.
Atoms (fractional coordinates):
Rh 0.5000 0.0000 0.2486  2 B 2.10
Rh 0.5000 0.5000 0.5000  2 B 2.23
B 0.5000 0.5000 0.2314  5 Rh 2.10-2.23
Rh 0.5000 0.0000 0.7514  2 B 2.10
Rh 0.0000 0.5000 0.7514  2 B 2.10
Th 0.0000 0.0000 0.0000  8 Rh 2.94
Dy 0.0000 0.0000 0.5000  12 Rh 2.96
B 0.5000 0.5000 0.7686  5 Rh 2.10-2.23
Rh 0.0000 0.5000 0.2486  2 B 2.10

=====

Compound: PmSm6HoEr2
Source: Alexandria via LeMat-Bulk
Functional: PBE
Structure: optimized geometry

Output
Calculated formation energy ... 0.12 eV/atom

a b c (Å): 9.5766 8.8774 8.8774
angles (deg): 117.33 93.54 93.54
Last column: nearest neighbours and their distance in Å.
Atoms (fractional coordinates):
Sm 0.1846 0.5617 0.0108  3 Sm 3.25-3.61, 1 Er 3.45, 1 Ho 3.46, 1 Pm 3.58
Sm 0.4447 0.2417 0.8827  7 Sm 3.44-3.77, 1 Er 3.51, 2 Pm 3.68-3.81
Ho 0.7500 0.5894 0.4106  6 Sm 3.44-3.54, 2 Er 3.52
Sm 0.1178 0.7073 0.4869  4 Sm 3.25-3.59, 3 Er 3.30-3.46, 2 Ho 3.44-3.54
Ho 0.2500 0.4106 0.5894  6 Sm 3.44-3.54, 2 Er 3.52
Er 0.5476 0.2021 0.3019  6 Sm 3.30-3.66, 2 Pm 3.41-3.47, 1 Ho 3.52
Sm 0.5553 0.7583 0.1173  7 Sm 3.44-3.77, 1 Er 3.51, 2 Pm 3.68-3.81
Sm 0.3154 0.9892 0.4383  3 Sm 3.25-3.61, 1 Er 3.45, 1 Ho 3.46, 1 Pm 3.58
Pm 0.7500 0.0287 0.9713  4 Er 3.41-3.47, 6 Sm 3.58-3.81
Er 0.9524 0.6981 0.7979  6 Sm 3.30-3.66, 2 Pm 3.41-3.47, 1 Ho 3.52
Sm 0.6846 0.0108 0.5617  3 Sm 3.25-3.61, 1 Er 3.45, 1 Ho 3.46, 1 Pm 3.58
Er 0.0476 0.3019 0.2021  6 Sm 3.30-3.66, 2 Pm 3.41-3.47, 1 Ho 3.52
Sm 0.3822 0.5131 0.2927  4 Sm 3.25-3.59, 3 Er 3.30-3.46, 2 Ho 3.44-3.54
Er 0.4524 0.7979 0.6981  6 Sm 3.30-3.66, 2 Pm 3.41-3.47, 1 Ho 3.52
Sm 0.6178 0.4869 0.7073  4 Sm 3.25-3.59, 3 Er 3.30-3.46, 2 Ho 3.44-3.54
Sm 0.8822 0.2927 0.5131  4 Sm 3.25-3.59, 3 Er 3.30-3.46, 2 Ho 3.44-3.54
Sm 0.0553 0.1173 0.7583  7 Sm 3.44-3.77, 1 Er 3.51, 2 Pm 3.68-3.81
Sm 0.8154 0.4383 0.9892  3 Sm 3.25-3.61, 1 Er 3.45, 1 Ho 3.46, 1 Pm 3.58
Sm 0.9447 0.8827 0.2417  7 Sm 3.44-3.77, 1 Er 3.51, 2 Pm 3.68-3.81
Pm 0.2500 0.9713 0.0287  4 Er 3.41-3.47, 6 Sm 3.58-3.81

=====

Compound: Li2MnTc
Source: Alexandria via LeMat-Bulk
Functional: PBE
Structure: optimized geometry

Output
Calculated formation energy ... 0.59 eV/atom
Distance to the lowest polymorph of the same formula ... 0.391 eV per atom

a b c (Å): 3.3182 3.3182 4.8267
angles (deg): 90.00 90.00 90.00
Last column: nearest neighbours and their distance in Å.
Atoms (fractional coordinates):
Tc 0.5000 0.5000 0.7500  2 Mn 2.41, 8 Li 2.63
Li 0.0000 0.0000 0.5019  2 Li 2.39-2.43, 4 Tc 2.63, 4 Mn 2.64
Li 0.0000 0.0000 0.9981  2 Li 2.39-2.43, 4 Tc 2.63, 4 Mn 2.64
Mn 0.5000 0.5000 0.2500  2 Tc 2.41, 8 Li 2.64

=====

Compound: Ho4InSb
Source: Alexandria via LeMat-Bulk
Functional: PBE
Structure: optimized geometry

Output
Raw formation energy ... -1.9 eV per formula unit

a b c (Å): 5.5170 6.3517 11.0559
angles (deg): 90.00 104.45 90.00
Last column: nearest neighbours and their distance in Å.
Atoms (fractional coordinates):
In 0.5750 0.8223 0.1499  7 Ho 3.03-3.27
Sb 0.1547 0.3222 0.3094  10 Ho 3.20-3.38
Ho 0.1346 0.8221 0.2692  2 In 3.04, 2 Sb 3.20-3.21
Ho 0.8654 0.3221 0.7308  2 In 3.04, 2 Sb 3.20-3.21
Sb 0.8453 0.8222 0.6906  10 Ho 3.20-3.38
In 0.4250 0.3223 0.8501  7 Ho 3.03-3.27
Ho 0.5664 0.3224 0.1328  3 In 3.03-3.18, 2 Sb 3.34
Ho 0.7085 0.5712 0.4171  5 Ho 3.16-3.43, 1 In 3.27, 3 Sb 3.33-3.38
Ho 0.2915 0.0712 0.5829  5 Ho 3.16-3.43, 1 In 3.27, 3 Sb 3.33-3.38
Ho 0.2915 0.5732 0.5830  5 Ho 3.16-3.43, 1 In 3.27, 3 Sb 3.33-3.38
Ho 0.7085 0.0732 0.4170  5 Ho 3.16-3.43, 1 In 3.27, 3 Sb 3.33-3.38
Ho 0.4336 0.8224 0.8672  3 In 3.03-3.18, 2 Sb 3.34

=====

Compound: BaTbSn2Au2
Source: Alexandria via LeMat-Bulk
Functional: PBE
Structure: optimized geometry

Output
Calculated formation energy ... -0.77 eV/atom

a b c (Å): 4.8249 4.8249 8.2827
angles (deg): 90.00 90.00 120.00
Last column: nearest neighbours and their distance in Å.
Atoms (fractional coordinates):
Sn 0.6667 0.3333 0.2854  3 Au 2.81
Au 0.3333 0.6667 0.3260  3 Sn 2.81, 3 Tb 3.14
Ba 0.0000 0.0000 0.0000  6 Sn 3.65, 6 Au 3.88
Au 0.6667 0.3333 0.6740  3 Sn 2.81, 3 Tb 3.14
Sn 0.3333 0.6667 0.7146  3 Au 2.81
Tb 0.0000 0.0000 0.5000  6 Au 3.14, 6 Sn 3.30

=====

Compound: NaFeTeI2
Source: Alexandria via LeMat-Bulk
Functional: PBE
Structure: optimized geometry

Output
Distance to the lowest polymorph of the same formula ... 0.000 eV per atom
Raw formation energy ... -0.3 eV per formula unit

a b c (Å): 5.7020 5.7020 4.8055
angles (deg): 90.00 90.00 90.00
Last column: nearest neighbours and their distance in Å.
Atoms (fractional coordinates):
I 0.5000 0.0000 0.0000  2 Fe 2.85
Fe 0.0000 0.0000 0.0000  2 Te 2.40
Te 0.0000 0.0000 0.5000  2 Fe 2.40
Na 0.5000 0.5000 0.5000  8 I 3.73, 4 Te 4.03
I 0.0000 0.5000 0.0000  2 Fe 2.85

=====

Compound: CeAlCd
Source: Alexandria via LeMat-Bulk
Functional: PBE
Structure: optimized geometry

Output
Calculated formation energy ... 0.12 eV/atom

a b c (Å): 4.7548 4.7548 7.0406
angles (deg): 90.00 90.00 90.00
Last column: nearest neighbours and their distance in Å.
Atoms (fractional coordinates):
Cd 0.0000 0.0000 0.0000  4 Al 2.83
Ce 0.5000 0.5000 0.5000  4 Al 3.10, 4 Ce 3.36
Al 0.0000 0.5000 0.2183  4 Cd 2.83, 4 Ce 3.10
Cd 0.5000 0.5000 0.0000  4 Al 2.83
Al 0.5000 0.0000 0.7817  4 Cd 2.83, 4 Ce 3.10
Ce 0.0000 0.0000 0.5000  4 Al 3.10, 4 Ce 3.36

=====

Compound: BaRhBr2
Source: Alexandria via LeMat-Bulk
Functional: PBE
Structure: optimized geometry

Output
Distance to the lowest polymorph of the same formula ... 0.310 eV per atom
Raw formation energy ... -2.3 eV per formula unit

a b c (Å): 5.5663 5.5663 5.5803
angles (deg): 66.24 66.24 101.13
Last column: nearest neighbours and their distance in Å.
Atoms (fractional coordinates):
Br 0.5000 0.5000 0.0000  2 Rh 3.05, 2 Ba 3.05
Ba 0.0000 0.5000 0.5000  4 Br 3.05
Br 0.0000 0.0000 0.0000  2 Ba 3.05, 2 Rh 3.05
Rh 0.5000 0.0000 0.5000  4 Br 3.05

=====

Compound: Be2TlSe
Source: Alexandria via LeMat-Bulk
Functional: PBE
Structure: optimized geometry

Output
Distance to the lowest polymorph of the same formula ... 0.500 eV per atom
Raw formation energy ... 2.2 eV per formula unit

a b c (Å): 6.4602 6.4602 6.4602
angles (deg): 148.23 148.23 45.54
Last column: nearest neighbours and their distance in Å.
Atoms (fractional coordinates):
Be 0.0000 0.0000 0.0000  4 Se 2.50
Se 0.5000 0.5000 0.0000  4 Be 2.50
Tl 0.7500 0.2500 0.5000  4 Be 2.50
Be 0.2500 0.7500 0.5000  4 Tl 2.50

=====

Compound: FeCo
Source: Alexandria via LeMat-Bulk
Functional: PBE
Structure: optimized geometry

Output
Calculated formation energy ... -0.01 eV/atom

a b c (Å): 4.0059 4.0059 4.9346
angles (deg): 90.00 90.00 120.00
Last column: nearest neighbours and their distance in Å.
Atoms (fractional coordinates):
Co 0.6667 0.3333 0.0052  5 Fe 2.44-2.49, 3 Co 2.47
Co 0.0000 0.0000 0.8294  3 Fe 2.45, 5 Co 2.46-2.47
Fe 0.3333 0.6667 0.1663  6 Co 2.45, 2 Fe 2.46-2.48
Co 0.0000 0.0000 0.3307  6 Fe 2.45-2.46, 2 Co 2.46-2.47
Fe 0.6667 0.3333 0.5003  5 Co 2.44-2.49, 3 Fe 2.46
Fe 0.3333 0.6667 0.6681  3 Co 2.45, 5 Fe 2.46-2.48

=====

Compound: Pm5Tl2Hg
Source: Alexandria via LeMat-Bulk
Functional: PBE
Structure: optimized geometry

Output
Calculated formation energy ... -0.32 eV/atom
Distance to the lowest polymorph of the same formula ... 0.000 eV per atom

a b c (Å): 5.2098 6.8979 13.5176
angles (deg): 90.00 90.00 90.00
Last column: nearest neighbours and their distance in Å.
Atoms (fractional coordinates):
Pm 0.5000 0.6838 0.3964  2 Hg 3.22, 3 Tl 3.26-3.57
Pm 0.0000 0.1079 0.7753  1 Hg 3.13, 2 Tl 3.27
Tl 0.5000 0.1491 0.3537  9 Pm 3.26-3.60
Tl 0.5000 0.3509 0.8537  9 Pm 3.26-3.60
Pm 0.0000 0.3921 0.2753  1 Hg 3.13, 2 Tl 3.27
Tl 0.5000 0.6491 0.1463  9 Pm 3.26-3.60
Hg 0.0000 0.5000 0.5000  8 Pm 3.13-3.45
Pm 0.5000 0.3162 0.6036  2 Hg 3.22, 3 Tl 3.26-3.57
Pm 0.0000 0.0000 0.5000  4 Tl 3.43, 2 Hg 3.45, 6 Pm 3.68-3.79
Tl 0.5000 0.8509 0.6463  9 Pm 3.26-3.60
Pm 0.0000 0.6079 0.7247  1 Hg 3.13, 2 Tl 3.27
Hg 0.0000 0.0000 0.0000  8 Pm 3.13-3.45
Pm 0.5000 0.1838 0.1036  2 Hg 3.22, 3 Tl 3.26-3.57
Pm 0.0000 0.5000 0.0000  4 Tl 3.43, 2 Hg 3.45, 6 Pm 3.68-3.79
Pm 0.5000 0.8162 0.8964  2 Hg 3.22, 3 Tl 3.26-3.57
Pm 0.0000 0.8921 0.2247  1 Hg 3.13, 2 Tl 3.27

=====

| no. | E (eV per atom) |
| --- | --- |
| 1 | -8.446 |
| 2 | -7.663 |
| 3 | -4.559 |
| 4 | -5.248 |
| 5 | -4.511 |
| 6 | -4.291 |
| 7 | -3.261 |
| 8 | -3.414 |
| 9 | -3.732 |
| 10 | -2.785 |
| 11 | -7.797 |
| 12 | -3.916 |